Entry 1:
A plane-wave DFT calculation with GGA-PBEsol was carried out for TlNiSeN2 after structural relaxation.

a = 3.842 Å, b = 3.842 Å, c = 5.012 Å
α = 90.00°, β = 90.00°, γ = 90.00°
Element x y z (fractional)
1 Tl 0.000 0.000 0.000
2 Ni 0.500 0.500 0.500
3 Se 0.500 0.500 0.000
4 N 0.000 0.500 0.500
5 N 0.500 0.000 0.500

raw total energy: -4.883 eV per atom
total moment: 0.6151 μB per atom
space group: P4/mmm (123)


Entry 2:
A plane-wave DFT calculation with GGA-PBEsol was carried out for ZnMo2As after structural relaxation.

a = 4.336 Å, b = 4.336 Å, c = 4.336 Å
α = 60.00°, β = 60.00°, γ = 60.00°
Element x y z (fractional)
1 Zn 0.000 0.000 0.000
2 Mo 0.250 0.250 0.250
3 Mo 0.750 0.750 0.750
4 As 0.500 0.500 0.500

energy relative to the elements: 189 meV/atom
raw total energy: -7.367 eV per atom
total moment: 0.0001 μB per atom
space group: Fm-3m (225)